No. 1
A plane-wave DFT calculation with GGA-PBE was carried out for crystalline HfAlMoRh2 at its relaxed geometry.

Summary:
Total moment: 0.00 μB per formula unit
VASP energy: -34.455 eV/cell
Energy of formation from the pure elements: 955 meV per atom

Cell: 4.6775 4.6775 4.9721 Å, 90.00 90.00 90.00°
Space group P4/mmm (No. 123)
Inequivalent atoms, fractional coordinates:
Hf1 0.0000 0.0000 0.0000
Al1 0.5000 0.5000 0.0000
Mo1 0.0000 0.0000 0.5000
Rh1 0.0000 0.5000 0.5000

No. 2
A plane-wave DFT calculation with GGA-PBE was carried out for crystalline HoTmZnAg at its relaxed geometry.

Summary:
Total moment: 0.00 μB per formula unit
VASP energy: -58.008 eV/cell
Energy of formation from the pure elements: -332 meV per atom

Cell: 7.1459 7.1459 7.1459 Å, 90.00 90.00 90.00°
Space group F-43m (No. 216)
Inequivalent atoms, fractional coordinates:
Ho1 0.0000 0.0000 0.0000
Tm1 0.0000 0.0000 0.5000
Zn1 0.2500 0.2500 0.2500
Ag1 0.2500 0.2500 0.7500